No. 1
## CePuSc2P4 (GGA-PBE)

Data for a relaxed structure of CePuSc2P4.

Properties
Its crystal system is monoclinic. The value obtained for the formation energy is -1.397 eV per atom.

POSCAR file:
```
CePuSc2P4
1.0
3.9170 0.0000 0.0000
0.0000 6.7730 0.1130
0.0000 -2.3725 6.2847
Ce Pu Sc P
1 1 2 4
Cartesian
1.9585 3.3865 0.0565
0.0000 0.0000 0.0000
1.9585 -1.1863 3.1423
0.0000 2.2003 3.1989
1.9585 1.0767 1.6863
1.9585 3.3238 4.7114
0.0000 -0.0980 4.6339
0.0000 4.4985 1.7638
```


No. 2
## CePuPSe (GGA-PBE)

Data for a relaxed structure of CePuPSe.

Properties
Its crystal system is trigonal. The value obtained for the uncorrected formation energy is -1545.5 meV per atom.

POSCAR file:
```
CePuPSe
1.0
4.1180 0.0000 0.0000
2.0590 3.5663 0.0000
2.0590 1.1888 6.7335
Ce Pu P Se
1 1 1 1
Cartesian
2.0590 1.1888 1.5781
6.1771 3.5663 5.1506
2.0590 1.1888 6.6927
4.1180 2.3776 3.4124
```


No. 3
## CeSmPu2P4 (GGA-PBE)

Data for a relaxed structure of CeSmPu2P4.

Properties
Its crystal system is monoclinic. The value obtained for the formation energy is -1.347 eV per atom.

POSCAR file:
```
CeSmPu2P4
1.0
-2.5139 -0.8985 -3.0564
-8.3398 -5.9280 8.6021
2.1379 5.6952 -3.4327
Ce Sm Pu P
1 1 2 4
Cartesian
-5.4268 -3.4133 2.7728
0.0000 0.0000 0.0000
-0.1880 2.3983 -3.2446
-3.1009 -0.1164 2.5847
-2.8507 -0.5390 -0.1910
-5.8650 -0.5923 2.3040
-5.7449 -3.0628 5.6255
-0.4570 2.8299 -0.4561
```